(1)
RbLiCd: optimized geometry, PBE-GGA.

Summary:
Energy relative to the lowest polymorph listed for this composition, meV per atom: 20.3
Energy relative to the elements, eV/atom: 0.002

```
RbLiCd
1.0
3.9996 0.0000 0.0000
0.0000 3.9996 0.0000
-1.9998 -1.9998 6.5932
Li Rb Cd
1 1 1
direct
0.7281 0.7281 0.4563 Li
0.9934 0.9934 0.9867 Rb
0.2785 0.2785 0.5570 Cd
```

(2)
RbLiCd2Re: optimized geometry, PBE-GGA.

Summary:
Energy relative to the elements, eV/atom: 1.982

```
RbLiCd2Re
1.0
6.2526 0.0000 0.0000
0.0000 5.8030 0.0000
0.0000 0.0000 6.2526
Re Li Rb Cd
1 1 1 2
direct
0.5000 0.5000 0.5000 Re
0.0000 0.5000 0.0000 Li
0.0000 0.0000 0.0000 Rb
0.0000 0.0000 0.5000 Cd
0.5000 0.0000 0.0000 Cd
```

(3)
Rb2LiCdS: optimized geometry, PBE-GGA.

Summary:
Raw formation energy, meV per atom: -556

```
Rb2LiCdS
1.0
-3.0515 -4.4137 3.9611
5.9073 -1.8682 2.4692
-0.3570 3.1568 3.2425
S Li Rb Cd
1 1 2 1
direct
0.0000 0.0000 0.0000 S
0.0000 0.0000 0.5000 Li
0.0000 0.5000 0.0000 Rb
0.5000 0.0000 0.0000 Rb
0.5000 0.5000 0.5000 Cd
```

(4)
RbLiCdSe2: optimized geometry, PBE-GGA.

Summary:
Raw formation energy, meV per atom: -406

```
RbLiCdSe2
1.0
-4.4767 0.9565 3.0135
-2.9120 -0.6278 -4.1267
-0.4039 -5.3540 1.0995
Li Se Rb Cd
1 2 1 1
direct
0.0000 0.5000 0.0000 Li
0.0000 0.0000 0.5000 Se
0.5000 0.0000 0.0000 Se
0.5000 0.5000 0.5000 Rb
0.0000 0.0000 0.0000 Cd
```

no.,electronic total energy (eV per atom),N(E_F) (states/eV/f.u.)
1,-1.26,1.6
2,-1.45,5.7
3,-2.33,2.7
4,-2.56,1.7